(1)
# CeThCo | Alexandria | PBE | relaxed
# N(E_F): 2.71 states/eV/atom
# Formation energy from the elements: 0.047 eV per atom
# Total moment: 0.05 μB/cell
# Raw total energy: -6.772 eV/atom
# Distance to the lowest polymorph of the same formula: 18.7 kJ/mol of atoms
data_CeThCo
_chemical_formula_sum 'Ce4 Th4 Co4'
_cell_length_a 6.678
_cell_length_b 6.678
_cell_length_c 6.678
_cell_angle_alpha 90.00
_cell_angle_beta 90.00
_cell_angle_gamma 90.00
_symmetry_space_group_name_H-M 'F -4 3 m'
_symmetry_Int_Tables_number 216
_symmetry_space_group_name_Hall 'F -4 2 3'
loop_
_atom_site_label
_atom_site_type_symbol
_atom_site_fract_x
_atom_site_fract_y
_atom_site_fract_z
_atom_site_occupancy
Ce1 Ce 0.000 0.000 0.000 1
Th1 Th 0.000 0.000 0.500 1
Co1 Co 0.250 0.250 0.750 1

---

(2)
# P2HIrAu | Alexandria | PBE | relaxed
# N(E_F): 0.27 states/eV/atom
# Total moment: 0.00 μB/cell
# Raw total energy: -5.372 eV/atom
# Distance to the lowest polymorph of the same formula: 0.0 kJ/mol of atoms
data_P2HIrAu
_chemical_formula_sum 'P2 H1 Ir1 Au1'
_cell_length_a 3.286
_cell_length_b 4.292
_cell_length_c 6.150
_cell_angle_alpha 94.54
_cell_angle_beta 90.05
_cell_angle_gamma 112.39
_symmetry_space_group_name_H-M 'P 1'
_symmetry_Int_Tables_number 1
_symmetry_space_group_name_Hall 'P 1'
loop_
_atom_site_label
_atom_site_type_symbol
_atom_site_fract_x
_atom_site_fract_y
_atom_site_fract_z
_atom_site_occupancy
P1 P 0.000 0.000 0.000 1
P2 P 0.269 0.539 0.336 1
H1 H 0.820 0.640 0.943 1
Ir1 Ir 0.554 0.108 0.267 1
Au1 Au 0.126 0.251 0.666 1

---

(3)
# AlAg7 | Alexandria | PBE | relaxed
# N(E_F): 0.26 states/eV/atom
# Formation energy from the elements: -0.011 eV per atom
# Total moment: 0.00 μB/cell
# Raw total energy: -2.974 eV/atom
# Distance to the lowest polymorph of the same formula: 1.3 kJ/mol of atoms
data_AlAg7
_chemical_formula_sum 'Al1 Ag7'
_cell_length_a 5.063
_cell_length_b 2.934
_cell_length_c 9.695
_cell_angle_alpha 90.00
_cell_angle_beta 101.68
_cell_angle_gamma 90.00
_symmetry_space_group_name_H-M 'P 1 2/m 1'
_symmetry_Int_Tables_number 10
_symmetry_space_group_name_Hall '-P 2y'
loop_
_atom_site_label
_atom_site_type_symbol
_atom_site_fract_x
_atom_site_fract_y
_atom_site_fract_z
_atom_site_occupancy
Al1 Al 0.000 0.000 0.000 1
Ag1 Ag 0.000 0.500 0.500 1
Ag2 Ag 0.241 0.500 0.240 1
Ag3 Ag 0.250 0.000 0.751 1
Ag4 Ag 0.500 0.000 0.500 1
Ag5 Ag 0.500 0.500 0.000 1

---

(4)
# LiAcIr | Alexandria | PBE | relaxed
# N(E_F): 0.68 states/eV/atom
# Formation energy from the elements: -0.287 eV per atom
# Total moment: 0.00 μB/cell
# Raw total energy: -5.248 eV/atom
# Distance to the lowest polymorph of the same formula: 14.0 kJ/mol of atoms
data_LiAcIr
_chemical_formula_sum 'Li4 Ac4 Ir4'
_cell_length_a 3.962
_cell_length_b 17.657
_cell_length_c 4.124
_cell_angle_alpha 90.00
_cell_angle_beta 90.00
_cell_angle_gamma 90.00
_symmetry_space_group_name_H-M 'C m c m'
_symmetry_Int_Tables_number 63
_symmetry_space_group_name_Hall '-C 2c 2'
loop_
_atom_site_label
_atom_site_type_symbol
_atom_site_fract_x
_atom_site_fract_y
_atom_site_fract_z
_atom_site_occupancy
Li1 Li 0.000 0.250 0.250 1
Ac1 Ac 0.000 0.096 0.750 1
Ir1 Ir 0.000 0.357 0.750 1

---

(5)
# ReMoS2 | Alexandria | PBE | relaxed
# N(E_F): 0.87 states/eV/atom
# Total moment: 0.00 μB/cell
# Raw total energy: -7.952 eV/atom
# Distance to the lowest polymorph of the same formula: 0.0 kJ/mol of atoms
# E_form (uncorrected): -0.07 eV per atom
data_ReMoS2
_chemical_formula_sum 'Re3 Mo3 S6'
_cell_length_a 3.0094
_cell_length_b 3.0094
_cell_length_c 23.8217
_cell_angle_alpha 90.00
_cell_angle_beta 90.00
_cell_angle_gamma 120.00
_symmetry_space_group_name_H-M 'R -3 m'
_symmetry_Int_Tables_number 166
_symmetry_space_group_name_Hall '-R 3 2"'
loop_
_atom_site_label
_atom_site_type_symbol
_atom_site_fract_x
_atom_site_fract_y
_atom_site_fract_z
_atom_site_occupancy
Re1 Re 0.0000 0.0000 0.0000 1
Mo1 Mo 0.0000 0.0000 0.5000 1
S1 S 0.0000 0.0000 0.0955 1

---

(6)
# Li2MnRu | Alexandria | PBE | relaxed
# N(E_F): 0.65 states/eV/atom
# Formation energy from the elements: 0.222 eV per atom
# Total moment: 2.74 μB/cell
# Raw total energy: -5.346 eV/atom
# Distance to the lowest polymorph of the same formula: 3.9 kJ/mol of atoms
data_Li2MnRu
_chemical_formula_sum 'Li8 Mn4 Ru4'
_cell_length_a 5.759
_cell_length_b 5.759
_cell_length_c 5.759
_cell_angle_alpha 90.00
_cell_angle_beta 90.00
_cell_angle_gamma 90.00
_symmetry_space_group_name_H-M 'F -4 3 m'
_symmetry_Int_Tables_number 216
_symmetry_space_group_name_Hall 'F -4 2 3'
loop_
_atom_site_label
_atom_site_type_symbol
_atom_site_fract_x
_atom_site_fract_y
_atom_site_fract_z
_atom_site_occupancy
Li1 Li 0.000 0.000 0.000 1
Li2 Li 0.250 0.250 0.250 1
Mn1 Mn 0.000 0.000 0.500 1
Ru1 Ru 0.250 0.250 0.750 1

---

(7)
# TaOsAu2 | Alexandria | PBE | relaxed
# N(E_F): 0.88 states/eV/atom
# Formation energy from the elements: 0.367 eV per atom
# Total moment: 0.00 μB/cell
# Raw total energy: -7.042 eV/atom
# Distance to the lowest polymorph of the same formula: 31.9 kJ/mol of atoms
data_TaOsAu2
_chemical_formula_sum 'Ta3 Os3 Au6'
_cell_length_a 2.8466
_cell_length_b 2.8466
_cell_length_c 28.7523
_cell_angle_alpha 90.00
_cell_angle_beta 90.00
_cell_angle_gamma 120.00
_symmetry_space_group_name_H-M 'R -3 m'
_symmetry_Int_Tables_number 166
_symmetry_space_group_name_Hall '-R 3 2"'
loop_
_atom_site_label
_atom_site_type_symbol
_atom_site_fract_x
_atom_site_fract_y
_atom_site_fract_z
_atom_site_occupancy
Ta1 Ta 0.0000 0.0000 0.0000 1
Os1 Os 0.0000 0.0000 0.5000 1
Au1 Au 0.0000 0.0000 0.2487 1

---

(8)
# Al3CrPt | Alexandria | PBE | relaxed
# N(E_F): 1.82 states/eV/atom
# Formation energy from the elements: 0.594 eV per atom
# Total moment: 0.10 μB/cell
# Raw total energy: -4.784 eV/atom
# Distance to the lowest polymorph of the same formula: 0.0 kJ/mol of atoms
data_Al3CrPt
_chemical_formula_sum 'Al3 Cr1 Pt1'
_cell_length_a 4.680
_cell_length_b 4.680
_cell_length_c 4.680
_cell_angle_alpha 90.00
_cell_angle_beta 90.00
_cell_angle_gamma 90.00
_symmetry_space_group_name_H-M 'P m -3 m'
_symmetry_Int_Tables_number 221
_symmetry_space_group_name_Hall '-P 4 2 3'
loop_
_atom_site_label
_atom_site_type_symbol
_atom_site_fract_x
_atom_site_fract_y
_atom_site_fract_z
_atom_site_occupancy
Al1 Al 0.000 0.000 0.500 1
Cr1 Cr 0.500 0.500 0.500 1
Pt1 Pt 0.000 0.000 0.000 1